[1]
Below is crystalline Mg5Sc6Zn at its relaxed geometry, with properties calculated at the PBE level.

Cell and atoms, written as extended XYZ:
```
12
Lattice="4.7640 -0.0283 1.5877 0.0379 7.0930 0.0126 -0.0070 -0.0142 7.9625" Properties=species:S:1:pos:R:3 pbc="T T T"
Sc 0.7673 1.7032 5.6697
Mg 3.1995 -0.0283 6.2825
Sc 2.4110 5.4018 0.8035
Sc 0.7869 5.3615 5.6762
Mg 3.2003 3.5182 6.3432
Mg 1.5947 3.5324 3.2195
Sc 2.3910 1.6629 0.7968
Sc 4.0277 5.3474 3.8931
Sc 4.0081 1.6890 3.8866
Mg 0.0190 3.5465 0.0063
Zn 0.0000 0.0000 0.0000
Mg 1.5576 -0.0142 3.2676
```

## Properties
Electronic total energy (eV per cell): -48.256
DOS(E_F) (states/eV/atom): 1.27
Spin magnetization (μB/f.u.): 0.00


[2]
Below is crystalline Mg5ScZn6 at its relaxed geometry, with properties calculated at the PBE level.

Cell and atoms, written as extended XYZ:
```
12
Lattice="-2.0272 -2.2522 -3.5718 1.0326 -5.6619 3.0226 -5.8289 4.5280 3.5052" Properties=species:S:1:pos:R:3 pbc="T T T"
Zn -5.4943 0.6869 -0.3985
Mg -4.2166 0.3806 2.1533
Zn -0.2403 -5.3806 0.4803
Zn -0.7543 -2.5335 -1.0294
Zn -1.3292 -4.0730 3.3545
Mg -2.6069 -3.7667 0.8027
Sc 0.0000 0.0000 0.0000
Mg 0.5163 -2.8310 1.5113
Zn -1.8539 -1.2085 1.8209
Mg -3.1335 -0.9348 -0.7033
Zn -4.9697 -2.1776 1.1351
Mg -3.6900 -2.4513 3.6594
```

## Properties
Electronic total energy (eV per cell): -23.572
DOS(E_F) (states/eV/atom): 0.54
Spin magnetization (μB/f.u.): 0.00